(1)
Computed, not measured: a relaxed structure of HoMgH8Ir2 at the PBE level of DFT.

Geometry as POSCAR:
```
HoMgH8Ir2
1.0
4.682 0.000 0.000
2.341 4.055 0.000
2.341 1.352 5.393
H Ir Mg Ho
8 2 1 1
Direct
0.180 0.180 0.459
0.054 0.054 0.284
0.946 0.392 0.716
0.608 0.054 0.284
0.392 0.946 0.716
0.054 0.608 0.284
0.946 0.946 0.716
0.820 0.820 0.541
0.281 0.281 0.158
0.719 0.719 0.842
0.000 0.000 0.000
0.500 0.500 0.500
```

Output
The electronic total energy is -4.425 eV per atom. Its crystal system is trigonal.



(2)
Computed, not measured: a relaxed structure of NdHoH8Ir2 at the PBE level of DFT.

Geometry as POSCAR:
```
NdHoH8Ir2
1.0
-4.196 1.104 2.192
-4.027 -2.511 -1.053
-1.443 -4.426 4.856
Ho H Nd Ir
1 8 1 2
Direct
0.000 0.000 0.000
0.891 0.550 0.178
0.109 0.450 0.822
0.550 0.380 0.178
0.176 0.176 0.472
0.824 0.824 0.528
0.380 0.891 0.178
0.620 0.109 0.822
0.450 0.620 0.822
0.500 0.500 0.500
0.264 0.264 0.208
0.736 0.736 0.792
```

Output
The electronic total energy is -4.767 eV per atom. Its crystal system is trigonal.



(3)
Computed, not measured: a relaxed structure of HoNiH8Ir2 at the PBE level of DFT.

Geometry as POSCAR:
```
HoNiH8Ir2
1.0
4.569 0.000 0.000
2.285 3.957 0.000
2.285 1.319 5.457
Ir H Ho Ni
2 8 1 1
Direct
0.280 0.280 0.160
0.720 0.720 0.840
0.081 0.347 0.814
0.819 0.819 0.544
0.241 0.919 0.186
0.759 0.081 0.814
0.347 0.759 0.814
0.181 0.181 0.456
0.919 0.653 0.186
0.653 0.241 0.186
0.500 0.500 0.500
0.000 0.000 0.000
```

Output
The electronic total energy is -4.729 eV per atom. Its crystal system is trigonal.



(4)
Computed, not measured: a relaxed structure of HoH4IrPd2 at the PBE level of DFT.

Geometry as POSCAR:
```
HoH4IrPd2
1.0
5.239 0.724 -0.003
0.722 5.227 -0.004
-2.982 -2.975 3.045
H Pd Ir Ho
4 2 1 1
Direct
0.433 0.917 0.279
0.018 0.961 0.573
0.838 0.357 0.262
0.555 0.610 0.572
0.508 0.007 0.016
0.261 0.264 0.526
0.764 0.762 0.526
0.010 0.509 0.019
```

Output
The electronic total energy is -5.055 eV per atom. Its crystal system is triclinic.



(5)
Computed, not measured: a relaxed structure of HoH6IrPd2 at the PBE level of DFT.

Geometry as POSCAR:
```
HoH6IrPd2
1.0
-2.176 -3.127 2.409
3.958 -1.278 1.916
-1.283 5.967 6.629
Pd H Ho Ir
4 12 2 2
Direct
0.500 0.423 0.248
0.000 0.077 0.748
0.000 0.923 0.252
0.500 0.577 0.752
0.502 0.671 0.413
0.253 0.141 0.368
0.753 0.359 0.868
0.498 0.329 0.587
0.748 0.142 0.368
0.998 0.171 0.087
0.248 0.358 0.868
0.002 0.829 0.913
0.752 0.642 0.132
0.252 0.858 0.632
0.747 0.859 0.632
0.247 0.641 0.132
0.500 0.000 0.000
0.000 0.500 0.500
0.500 0.000 0.500
0.000 0.500 0.000
```

Output
The electronic total energy is -4.723 eV per atom. Its crystal system is monoclinic.



(6)
Computed, not measured: a relaxed structure of HoH8IrPd2 at the PBE level of DFT.

Geometry as POSCAR:
```
HoH8IrPd2
1.0
4.431 -0.573 0.402
-0.517 4.458 -0.103
0.490 -0.068 5.803
Pd H Ho Ir
2 8 1 1
Direct
0.659 0.425 0.281
0.341 0.575 0.719
0.952 0.290 0.841
0.725 0.766 0.862
0.677 0.036 0.193
0.486 0.703 0.440
0.514 0.297 0.560
0.275 0.234 0.138
0.048 0.710 0.159
0.323 0.964 0.807
0.000 0.000 0.500
0.000 0.000 0.000
```

Output
The electronic total energy is -4.456 eV per atom. Its crystal system is triclinic.



(7)
Computed, not measured: a relaxed structure of PmHoH8Ir2 at the PBE level of DFT.

Geometry as POSCAR:
```
PmHoH8Ir2
1.0
-2.349 -1.586 3.938
2.203 -3.031 3.082
2.052 3.204 5.504
H Ir Ho Pm
8 2 1 1
Direct
0.619 0.111 0.820
0.451 0.619 0.820
0.889 0.549 0.180
0.175 0.175 0.476
0.549 0.381 0.180
0.111 0.451 0.820
0.825 0.825 0.524
0.381 0.889 0.180
0.263 0.263 0.211
0.737 0.737 0.789
0.000 0.000 0.000
0.500 0.500 0.500
```

Output
The electronic total energy is -4.766 eV per atom. Its crystal system is trigonal.



(8)
Computed, not measured: a relaxed structure of HoH8Ir2Pt at the PBE level of DFT.

Geometry as POSCAR:
```
HoH8Ir2Pt
1.0
4.001 0.000 0.000
2.001 4.569 0.265
2.001 2.050 5.768
Pt Ho H Ir
1 1 8 2
Direct
0.000 0.000 0.000
0.500 0.500 0.500
0.624 0.010 0.247
0.140 0.262 0.459
0.701 0.455 0.144
0.119 0.010 0.247
0.881 0.990 0.753
0.860 0.738 0.541
0.376 0.990 0.753
0.299 0.545 0.856
0.247 0.329 0.176
0.753 0.671 0.824
```

Output
The electronic total energy is -4.731 eV per atom. Its crystal system is monoclinic.



(9)
Computed, not measured: a relaxed structure of HoPuH8Ir2 at the PBE level of DFT.

Geometry as POSCAR:
```
HoPuH8Ir2
1.0
-3.070 -3.257 0.513
-0.094 -2.430 3.792
-5.201 2.432 4.106
H Ho Ir Pu
8 1 2 1
Direct
0.086 0.536 0.842
0.464 0.464 0.158
0.536 0.536 0.842
0.851 0.851 0.446
0.536 0.086 0.842
0.464 0.914 0.158
0.914 0.464 0.158
0.149 0.149 0.554
0.000 0.000 0.000
0.764 0.764 0.709
0.236 0.236 0.291
0.500 0.500 0.500
```

Output
The electronic total energy is -5.481 eV per atom. Its crystal system is trigonal.



(10)
Computed, not measured: a relaxed structure of HoH8Ir2Rh at the PBE level of DFT.

Geometry as POSCAR:
```
HoH8Ir2Rh
1.0
4.620 0.000 0.000
2.310 4.001 0.000
2.310 1.334 5.606
H Ir Ho Rh
8 2 1 1
Direct
0.178 0.178 0.465
0.822 0.822 0.535
0.736 0.097 0.811
0.903 0.644 0.189
0.644 0.264 0.189
0.097 0.356 0.811
0.264 0.903 0.189
0.356 0.736 0.811
0.726 0.726 0.821
0.274 0.274 0.179
0.500 0.500 0.500
0.000 0.000 0.000
```

Output
The electronic total energy is -4.839 eV per atom. Its crystal system is trigonal.



(11)
Computed, not measured: a relaxed structure of HoSiHIr2 at the PBE level of DFT.

Geometry as POSCAR:
```
HoSiHIr2
1.0
3.814 0.000 0.000
-1.907 5.325 0.000
0.000 0.000 7.113
Ho Ir H Si
2 4 2 2
Direct
0.556 0.112 0.250
0.444 0.888 0.750
0.841 0.681 0.054
0.841 0.681 0.446
0.159 0.319 0.554
0.159 0.319 0.946
0.000 0.000 0.500
0.000 0.000 0.000
0.724 0.448 0.750
0.276 0.552 0.250
```

Output
The electronic total energy is -6.964 eV per atom. Its crystal system is orthorhombic.



(12)
Computed, not measured: a relaxed structure of HoZnH8Ir2 at the PBE level of DFT.

Geometry as POSCAR:
```
HoZnH8Ir2
1.0
4.262 0.000 0.000
2.131 4.091 0.133
2.131 1.704 5.756
H Ir Ho Zn
8 2 1 1
Direct
0.918 0.505 0.659
0.407 0.984 0.678
0.713 0.447 0.126
0.287 0.553 0.874
0.593 0.016 0.322
0.069 0.016 0.322
0.082 0.495 0.341
0.931 0.984 0.678
0.708 0.731 0.853
0.292 0.269 0.147
0.500 0.500 0.500
0.000 0.000 0.000
```

Output
The electronic total energy is -4.379 eV per atom. Its crystal system is monoclinic.